LaNd2In9 (PBE-GGA, relaxed); raw total energy = -3.736 eV/atom; space group = P4/mmm, No. 123; theoretical density = 7.59 g/cm³; formation energy = -5.73 eV/f.u.
1.0
-2.630 -1.469 -3.660
3.533 -2.833 -1.401
-5.262 -10.519 8.002
La Nd In
1 2 9
Direct
0.000 0.000 0.000
0.000 0.000 0.336
0.000 0.000 0.664
0.500 0.500 0.000
0.500 0.500 0.334
0.500 0.500 0.666
0.500 0.000 0.169
0.500 0.000 0.500
0.500 0.000 0.831
0.000 0.500 0.169
0.000 0.500 0.500
0.000 0.500 0.831

Pr3Nd4SmTe8 (PBE-GGA, relaxed); raw total energy = -5.373 eV/atom; space group = R-3m, No. 166; theoretical density = 6.97 g/cm³
1.0
-7.058 2.405 5.070
-5.592 -2.485 -6.607
6.067 -5.844 3.200
Pr Nd Sm Te
3 4 1 8
Direct
0.500 0.500 0.000
0.500 0.500 0.500
0.000 0.500 0.500
0.500 0.000 0.000
0.500 0.000 0.500
0.000 0.000 0.000
0.000 0.000 0.500
0.000 0.500 0.000
0.248 0.750 0.002
0.248 0.750 0.497
0.249 0.247 0.498
0.753 0.750 0.002
0.247 0.250 0.998
0.751 0.753 0.502
0.752 0.250 0.503
0.752 0.250 0.998

KRb2NaF6 (PBE-GGA, relaxed); raw total energy = -3.713 eV/atom; space group = P2_1/c, No. 14; theoretical density = 2.95 g/cm³
1.0
-0.892 -3.706 5.989
3.483 -5.194 -2.695
7.069 3.877 1.664
K Rb Na F
2 4 2 12
Direct
0.500 0.000 0.000
0.000 0.500 0.500
0.017 0.015 0.229
0.517 0.485 0.729
0.983 0.985 0.771
0.483 0.515 0.271
0.500 0.000 0.500
0.000 0.500 0.000
0.226 0.760 0.059
0.726 0.740 0.559
0.774 0.240 0.941
0.274 0.260 0.441
0.262 0.765 0.449
0.762 0.735 0.949
0.738 0.235 0.551
0.238 0.265 0.051
0.833 0.640 0.193
0.333 0.860 0.693
0.167 0.360 0.807
0.667 0.140 0.307

- The highest raw total energy belongs to which entry?
  KRb2NaF6

- raw total energy of number 1 (LaNd2In9)?
  -3.736 eV/atom

- raw total energy of number 2 (Pr3Nd4SmTe8)?
  -5.373 eV/atom